(1)
# BiHIr2I, optimized geometry, DFT GGA-PBE
# DFT total energy	-0.158	hartree per atom
# magnetization	0.00	μB per cell
# Fermi-level density of states	0.60	states/eV/atom
# calculated volume	94	Å³/f.u.
data_BiHIr2I
_space_group_name_H-M_alt 'P 4/m m m'
_space_group_IT_number 123
_space_group_name_Hall '-P 4 2'
_cell_length_a 5.140
_cell_length_b 5.140
_cell_length_c 3.554
_cell_angle_alpha 90.00
_cell_angle_beta 90.00
_cell_angle_gamma 90.00
loop_
_atom_site_label
_atom_site_fract_x
_atom_site_fract_y
_atom_site_fract_z
_atom_site_occupancy
Bi1 0.000 0.000 0.000 1
H1 0.500 0.500 0.000 1
Ir1 0.000 0.500 0.500 1
I1 0.500 0.500 0.500 1


(2)
# BiHI2N, optimized geometry, DFT GGA-PBE
# DFT total energy	-0.092	hartree per atom
# magnetization	0.00	μB per cell
# Fermi-level density of states	1.64	states/eV/atom
# calculated volume	122	Å³/f.u.
data_BiHI2N
_space_group_name_H-M_alt 'P 4/m m m'
_space_group_IT_number 123
_space_group_name_Hall '-P 4 2'
_cell_length_a 6.419
_cell_length_b 6.419
_cell_length_c 2.970
_cell_angle_alpha 90.00
_cell_angle_beta 90.00
_cell_angle_gamma 90.00
loop_
_atom_site_label
_atom_site_fract_x
_atom_site_fract_y
_atom_site_fract_z
_atom_site_occupancy
Bi1 0.000 0.000 0.000 1
H1 0.500 0.500 0.500 1
I1 0.000 0.500 0.500 1
N1 0.500 0.500 0.000 1


(3)
# BiHIN2, optimized geometry, DFT GGA-PBE
# DFT total energy	-0.118	hartree per atom
# magnetization	4.34	μB per cell
# Fermi-level density of states	0.47	states/eV/atom
# calculated volume	135	Å³/f.u.
data_BiHIN2
_space_group_name_H-M_alt 'P 4/m m m'
_space_group_IT_number 123
_space_group_name_Hall '-P 4 2'
_cell_length_a 4.646
_cell_length_b 4.646
_cell_length_c 6.258
_cell_angle_alpha 90.00
_cell_angle_beta 90.00
_cell_angle_gamma 90.00
loop_
_atom_site_label
_atom_site_fract_x
_atom_site_fract_y
_atom_site_fract_z
_atom_site_occupancy
Bi1 0.000 0.000 0.000 1
H1 0.500 0.500 0.500 1
I1 0.000 0.000 0.500 1
N1 0.000 0.500 0.000 1


(4)
# BiHIN2, optimized geometry, DFT GGA-PBE
# DFT total energy	-0.115	hartree per atom
# magnetization	0.00	μB per cell
# Fermi-level density of states	0.56	states/eV/atom
# calculated volume	72	Å³/f.u.
data_BiHIN2
_space_group_name_H-M_alt 'P 4/m m m'
_space_group_IT_number 123
_space_group_name_Hall '-P 4 2'
_cell_length_a 4.550
_cell_length_b 4.550
_cell_length_c 3.481
_cell_angle_alpha 90.00
_cell_angle_beta 90.00
_cell_angle_gamma 90.00
loop_
_atom_site_label
_atom_site_fract_x
_atom_site_fract_y
_atom_site_fract_z
_atom_site_occupancy
Bi1 0.000 0.000 0.000 1
H1 0.500 0.500 0.500 1
I1 0.500 0.500 0.000 1
N1 0.000 0.500 0.500 1


(5)
# BiHI2N, optimized geometry, DFT GGA-PBE
# DFT total energy	-0.099	hartree per atom
# magnetization	3.00	μB per cell
# Fermi-level density of states	0.18	states/eV/atom
# calculated volume	182	Å³/f.u.
data_BiHI2N
_space_group_name_H-M_alt 'P 4/m m m'
_space_group_IT_number 123
_space_group_name_Hall '-P 4 2'
_cell_length_a 6.196
_cell_length_b 6.196
_cell_length_c 4.747
_cell_angle_alpha 90.00
_cell_angle_beta 90.00
_cell_angle_gamma 90.00
loop_
_atom_site_label
_atom_site_fract_x
_atom_site_fract_y
_atom_site_fract_z
_atom_site_occupancy
Bi1 0.000 0.000 0.000 1
H1 0.500 0.500 0.500 1
I1 0.000 0.500 0.000 1
N1 0.000 0.000 0.500 1


(6)
# BiHIO2, optimized geometry, DFT GGA-PBE
# DFT total energy	-0.120	hartree per atom
# magnetization	0.00	μB per cell
# Fermi-level density of states	0.71	states/eV/atom
# calculated volume	72	Å³/f.u.
data_BiHIO2
_space_group_name_H-M_alt 'P 4/m m m'
_space_group_IT_number 123
_space_group_name_Hall '-P 4 2'
_cell_length_a 4.494
_cell_length_b 4.494
_cell_length_c 3.565
_cell_angle_alpha 90.00
_cell_angle_beta 90.00
_cell_angle_gamma 90.00
loop_
_atom_site_label
_atom_site_fract_x
_atom_site_fract_y
_atom_site_fract_z
_atom_site_occupancy
Bi1 0.000 0.000 0.000 1
H1 0.500 0.500 0.500 1
I1 0.500 0.500 0.000 1
O1 0.000 0.500 0.500 1


(7)
# BiHIO2, optimized geometry, DFT GGA-PBE
# DFT total energy	-0.166	hartree per atom
# magnetization	0.00	μB per cell
# Fermi-level density of states	0.65	states/eV/atom
# calculated volume	114	Å³/f.u.
data_BiHIO2
_space_group_name_H-M_alt 'P 1 21/m 1'
_space_group_IT_number 11
_cell_length_a 5.425
_cell_length_b 4.496
_cell_length_c 9.359
_cell_angle_alpha 90.00
_cell_angle_beta 91.68
_cell_angle_gamma 90.00
loop_
_space_group_symop_operation_xyz
'x,y,z'
'-x,-y,-z'
'-x,y+1/2,-z'
'x,-y+1/2,z'
loop_
_atom_site_label
_atom_site_fract_x
_atom_site_fract_y
_atom_site_fract_z
_atom_site_occupancy
Bi1 0.186 0.250 0.407 1
H1 0.419 0.750 0.439 1
I1 0.250 0.750 0.999 1
O1 0.115 0.750 0.453 1
O2 0.410 0.250 0.597 1


(8)
# BiHI2O, optimized geometry, DFT GGA-PBE
# DFT total energy	-0.088	hartree per atom
# magnetization	0.43	μB per cell
# Fermi-level density of states	1.83	states/eV/atom
# calculated volume	154	Å³/f.u.
data_BiHI2O
_space_group_name_H-M_alt 'P 4/m m m'
_space_group_IT_number 123
_space_group_name_Hall '-P 4 2'
_cell_length_a 6.056
_cell_length_b 6.056
_cell_length_c 4.196
_cell_angle_alpha 90.00
_cell_angle_beta 90.00
_cell_angle_gamma 90.00
loop_
_atom_site_label
_atom_site_fract_x
_atom_site_fract_y
_atom_site_fract_z
_atom_site_occupancy
Bi1 0.000 0.000 0.000 1
H1 0.000 0.000 0.500 1
I1 0.000 0.500 0.000 1
O1 0.500 0.500 0.500 1


(9)
# BiHI2O, optimized geometry, DFT GGA-PBE
# DFT total energy	-0.098	hartree per atom
# magnetization	0.66	μB per cell
# Fermi-level density of states	0.85	states/eV/atom
# calculated volume	123	Å³/f.u.
data_BiHI2O
_space_group_name_H-M_alt 'P 4/m m m'
_space_group_IT_number 123
_space_group_name_Hall '-P 4 2'
_cell_length_a 6.467
_cell_length_b 6.467
_cell_length_c 2.947
_cell_angle_alpha 90.00
_cell_angle_beta 90.00
_cell_angle_gamma 90.00
loop_
_atom_site_label
_atom_site_fract_x
_atom_site_fract_y
_atom_site_fract_z
_atom_site_occupancy
Bi1 0.000 0.000 0.000 1
H1 0.500 0.500 0.500 1
I1 0.000 0.500 0.500 1
O1 0.500 0.500 0.000 1


(10)
# BiHIO2, optimized geometry, DFT GGA-PBE
# DFT total energy	-0.130	hartree per atom
# magnetization	0.38	μB per cell
# Fermi-level density of states	0.40	states/eV/atom
# calculated volume	116	Å³/f.u.
data_BiHIO2
_space_group_name_H-M_alt 'P 4/m m m'
_space_group_IT_number 123
_space_group_name_Hall '-P 4 2'
_cell_length_a 4.171
_cell_length_b 4.171
_cell_length_c 6.661
_cell_angle_alpha 90.00
_cell_angle_beta 90.00
_cell_angle_gamma 90.00
loop_
_atom_site_label
_atom_site_fract_x
_atom_site_fract_y
_atom_site_fract_z
_atom_site_occupancy
Bi1 0.000 0.000 0.000 1
H1 0.500 0.500 0.500 1
I1 0.000 0.000 0.500 1
O1 0.000 0.500 0.000 1


(11)
# BiHI2O, optimized geometry, DFT GGA-PBE
# DFT total energy	-0.104	hartree per atom
# magnetization	0.69	μB per cell
# Fermi-level density of states	1.09	states/eV/atom
# calculated volume	169	Å³/f.u.
data_BiHI2O
_space_group_name_H-M_alt 'P 4/m m m'
_space_group_IT_number 123
_space_group_name_Hall '-P 4 2'
_cell_length_a 6.312
_cell_length_b 6.312
_cell_length_c 4.241
_cell_angle_alpha 90.00
_cell_angle_beta 90.00
_cell_angle_gamma 90.00
loop_
_atom_site_label
_atom_site_fract_x
_atom_site_fract_y
_atom_site_fract_z
_atom_site_occupancy
Bi1 0.000 0.000 0.000 1
H1 0.500 0.500 0.500 1
I1 0.000 0.500 0.000 1
O1 0.000 0.000 0.500 1


(12)
# BiP2H6I, optimized geometry, DFT GGA-PBE
# DFT total energy	-0.136	hartree per atom
# magnetization	0.00	μB per cell
# calculated volume	194	Å³/f.u.
data_BiP2H6I
_space_group_name_H-M_alt 'C 1 2/c 1'
_space_group_IT_number 15
_cell_length_a 11.581
_cell_length_b 15.069
_cell_length_c 4.841
_cell_angle_alpha 90.00
_cell_angle_beta 113.32
_cell_angle_gamma 90.00
loop_
_space_group_symop_operation_xyz
'x,y,z'
'-x,-y,-z'
'-x,y,-z+1/2'
'x,-y,z+1/2'
'x+1/2,y+1/2,z'
'-x+1/2,-y+1/2,-z'
'-x+1/2,y+1/2,-z+1/2'
'x+1/2,-y+1/2,z+1/2'
loop_
_atom_site_label
_atom_site_fract_x
_atom_site_fract_y
_atom_site_fract_z
_atom_site_occupancy
Bi1 0.000 0.071 0.250 1
P1 0.230 0.405 0.467 1
H1 0.134 0.471 0.373 1
H2 0.176 0.351 0.630 1
H3 0.185 0.354 0.196 1
I1 0.000 0.247 0.750 1


Number 12 is which compound?
BiP2H6I


Which of these has the highest magnetization?
number 3